No. 1
AlCrRe2 | meta-GGA SCAN | PBEsol geometry

POSCAR file:
```
AlCrRe2
1.0
-2.729 -0.213 1.297
-1.403 -2.109 -3.298
3.229 -2.501 2.847
Al Re Cr
1 2 1
direct
0.505 0.505 0.010 Al
0.746 0.246 0.492 Re
0.994 0.994 0.989 Re
0.254 0.754 0.509 Cr
```

Calculated values
The calculation puts the raw total energy at -169.23 eV/f.u. As for the space-group type: Imm2. Its theoretical density is 13.96 g/cm3.



No. 2
AlCr2Rh | meta-GGA SCAN | PBEsol geometry

POSCAR file:
```
AlCr2Rh
1.0
3.442 0.000 0.000
0.000 3.442 0.000
-1.721 -1.721 4.178
Rh Cr Al
1 2 1
direct
0.500 0.500 0.000 Rh
0.250 0.750 0.500 Cr
0.750 0.250 0.500 Cr
0.000 0.000 0.000 Al
```

Calculated values
The calculation puts the raw total energy at -79.45 eV/f.u. As for the space-group type: I4/mmm. Its theoretical density is 7.85 g/cm3.



No. 3
AlCr2Rh | meta-GGA SCAN | PBEsol geometry

POSCAR file:
```
AlCr2Rh
1.0
-0.302 -1.927 -1.758
2.431 0.990 0.058
2.055 -5.372 5.534
Cr Al Rh
2 1 1
direct
0.500 0.500 0.766 Cr
0.000 0.000 0.985 Cr
0.500 0.500 0.248 Al
0.000 0.000 0.501 Rh
```

Calculated values
The calculation puts the raw total energy at -78.66 eV/f.u. As for the space-group type: Cmm2. Its theoretical density is 7.69 g/cm3.



No. 4
AlCr2Rh | meta-GGA SCAN | PBEsol geometry

POSCAR file:
```
AlCr2Rh
1.0
2.590 -0.011 -0.019
-0.592 4.753 -0.009
-0.592 -2.481 4.055
Rh Cr Al
1 2 1
direct
0.500 0.500 0.500 Rh
0.000 0.500 0.000 Cr
0.000 0.000 0.500 Cr
0.500 0.000 0.000 Al
```

Calculated values
The calculation puts the raw total energy at -78.89 eV/f.u. As for the space-group type: C2/m. Its theoretical density is 7.81 g/cm3.



No. 5
AlCr2Rh | meta-GGA SCAN | PBEsol geometry

POSCAR file:
```
AlCr2Rh
1.0
-2.143 1.243 -0.879
-1.330 -2.267 0.038
-2.042 1.311 6.835
Cr Al Rh
2 1 1
direct
0.000 0.000 0.247 Cr
0.000 0.000 0.753 Cr
0.500 0.500 0.500 Al
0.500 0.500 0.000 Rh
```

Calculated values
The calculation puts the raw total energy at -78.45 eV/f.u. As for the space-group type: P4/mmm. Its theoretical density is 7.75 g/cm3.



No. 6
AlCr4Rh | meta-GGA SCAN | PBEsol geometry

POSCAR file:
```
AlCr4Rh
1.0
4.694 0.000 0.000
2.347 4.065 0.000
2.347 1.355 3.833
Cr Al Rh
4 1 1
direct
0.373 0.373 0.882 Cr
0.373 0.882 0.373 Cr
0.882 0.373 0.373 Cr
0.373 0.373 0.373 Cr
0.000 0.000 0.000 Al
0.750 0.750 0.750 Rh
```

Calculated values
The calculation puts the raw total energy at -115.16 eV/f.u. As for the space-group type: F-43m. Its theoretical density is 7.67 g/cm3.



No. 7
AlTlCrRh2 | meta-GGA SCAN | PBEsol geometry

POSCAR file:
```
AlTlCrRh2
1.0
4.757 0.000 0.000
0.000 4.899 0.000
0.000 0.000 4.899
Rh Cr Tl Al
2 1 1 1
direct
0.000 0.000 0.500 Rh
0.000 0.500 0.000 Rh
0.500 0.500 0.500 Cr
0.000 0.000 0.000 Tl
0.500 0.000 0.000 Al
```

Calculated values
The calculation puts the raw total energy at -158.95 eV/f.u. As for the space-group type: P4/mmm. Its theoretical density is 7.11 g/cm3.



No. 8
AlCrRu | meta-GGA SCAN | PBEsol geometry

POSCAR file:
```
AlCrRu
1.0
2.684 0.000 0.000
0.000 4.079 0.000
0.000 -2.040 3.533
Cr Al Ru
1 1 1
direct
0.616 0.333 0.667 Cr
0.999 0.000 0.000 Al
0.385 0.667 0.333 Ru
```

Calculated values
The calculation puts the raw total energy at -61.62 eV/f.u. As for the space-group type: P3m1. Its theoretical density is 7.73 g/cm3.



No. 9
AlCrRu | meta-GGA SCAN | PBEsol geometry

POSCAR file:
```
AlCrRu
1.0
-0.527 -2.764 2.924
-2.275 -3.286 -0.700
1.748 -3.648 -0.317
Al Ru Cr
1 1 1
direct
0.250 0.250 0.250 Al
0.500 0.500 0.500 Ru
0.000 0.000 0.000 Cr
```

Calculated values
The calculation puts the raw total energy at -60.32 eV/f.u. As for the space-group type: F-43m. Its theoretical density is 6.33 g/cm3.



No. 10
AlCrS2 | meta-GGA SCAN | PBEsol geometry

POSCAR file:
```
AlCrS2
1.0
-2.843 -0.935 -1.392
-0.434 -3.140 -0.917
-3.843 -2.927 5.902
Al S Cr
1 2 1
direct
0.000 0.000 0.000 Al
0.893 0.893 0.320 S
0.107 0.107 0.680 S
0.500 0.500 0.500 Cr
```

Calculated values
The calculation puts the raw total energy at -48.30 eV/f.u. As for the space-group type: R-3m. Its theoretical density is 3.41 g/cm3.



No. 11
Al2CrS4 | meta-GGA SCAN | PBEsol geometry

POSCAR file:
```
Al2CrS4
1.0
6.906 0.000 0.000
3.453 6.102 0.003
3.453 1.964 5.777
S Al Cr
8 4 2
direct
0.746 0.741 0.241 S
0.259 0.259 0.222 S
0.729 0.259 0.759 S
0.741 0.741 0.778 S
0.271 0.741 0.241 S
0.259 0.722 0.759 S
0.254 0.259 0.759 S
0.741 0.278 0.241 S
0.500 0.000 0.000 Al
0.500 0.500 0.500 Al
0.866 0.884 0.384 Al
0.134 0.116 0.616 Al
0.000 0.500 0.000 Cr
0.500 0.500 0.000 Cr
```

Calculated values
The calculation puts the raw total energy at -80.23 eV/f.u. As for the space-group type: Imma. Its theoretical density is 3.20 g/cm3.



No. 12
Sc2AlCr | meta-GGA SCAN | PBEsol geometry

POSCAR file:
```
Sc2AlCr
1.0
-1.853 0.907 2.063
-2.362 -1.589 0.639
3.686 -5.094 7.614
Sc Cr Al
2 1 1
direct
0.916 0.916 0.252 Sc
0.084 0.084 0.748 Sc
0.000 0.000 0.000 Cr
0.500 0.500 0.500 Al
```

Calculated values
The calculation puts the raw total energy at -52.42 eV/f.u. As for the space-group type: R-3m. Its theoretical density is 3.91 g/cm3.



No. 13
ScAl2Cr | meta-GGA SCAN | PBEsol geometry

POSCAR file:
```
ScAl2Cr
1.0
3.240 0.000 0.000
0.000 4.429 0.000
-1.620 -2.214 4.490
Al Cr Sc
2 1 1
direct
0.009 0.009 0.017 Al
0.756 0.256 0.512 Al
0.495 0.495 0.990 Cr
0.240 0.740 0.480 Sc
```

Calculated values
The calculation puts the raw total energy at -48.84 eV/f.u. As for the space-group type: Imm2. Its theoretical density is 3.89 g/cm3.



No. 14
ScAlCr2 | meta-GGA SCAN | PBEsol geometry

POSCAR file:
```
ScAlCr2
1.0
2.764 0.000 0.003
0.000 3.900 0.000
-1.230 0.000 5.391
Cr Sc Al
2 1 1
direct
0.088 0.000 0.018 Cr
0.382 0.500 0.213 Cr
0.956 0.000 0.480 Sc
0.574 0.500 0.788 Al
```

Calculated values
The calculation puts the raw total energy at -58.31 eV/f.u. As for the space-group type: Pm. Its theoretical density is 5.03 g/cm3.



No. 15
ScAlCr2 | meta-GGA SCAN | PBEsol geometry

POSCAR file:
```
ScAlCr2
1.0
2.600 0.000 0.000
0.000 2.600 0.000
0.000 0.000 8.374
Cr Sc Al
2 1 1
direct
0.000 0.000 0.728 Cr
0.000 0.000 0.272 Cr
0.500 0.500 0.000 Sc
0.500 0.500 0.500 Al
```

Calculated values
The calculation puts the raw total energy at -57.54 eV/f.u. As for the space-group type: P4/mmm. Its theoretical density is 5.16 g/cm3.



No. 16
Sc3AlCr | meta-GGA SCAN | PBEsol geometry

POSCAR file:
```
Sc3AlCr
1.0
4.742 0.000 0.000
0.000 4.742 0.000
0.000 0.000 4.742
Cr Sc Al
1 3 1
direct
0.000 0.000 0.000 Cr
0.500 0.000 0.000 Sc
0.000 0.000 0.500 Sc
0.000 0.500 0.000 Sc
0.500 0.500 0.500 Al
```

Calculated values
The calculation puts the raw total energy at -66.67 eV/f.u. As for the space-group type: Pm-3m. Its theoretical density is 3.33 g/cm3.



No. 17
AlCrSe | meta-GGA SCAN | PBEsol geometry

POSCAR file:
```
AlCrSe
1.0
3.023 0.000 0.000
0.000 3.023 0.000
-1.511 -1.511 4.906
Cr Al Se
1 1 1
direct
0.682 0.682 0.364 Cr
0.017 0.017 0.034 Al
0.301 0.301 0.602 Se
```

Calculated values
The calculation puts the raw total energy at -46.26 eV/f.u. As for the space-group type: I4mm. Its theoretical density is 5.85 g/cm3.



No. 18
AlCr6Si | meta-GGA SCAN | PBEsol geometry

POSCAR file:
```
AlCr6Si
1.0
-0.597 2.132 3.920
-4.056 1.390 -1.373
-1.860 -3.714 1.737
Al Cr Si
1 6 1
direct
0.500 0.500 0.500 Al
0.246 0.000 0.500 Cr
0.754 0.000 0.500 Cr
0.500 0.246 0.000 Cr
0.000 0.500 0.246 Cr
0.000 0.500 0.754 Cr
0.500 0.754 0.000 Cr
0.000 0.000 0.000 Si
```

Calculated values
The calculation puts the raw total energy at -129.60 eV/f.u. As for the space-group type: Pm-3. Its theoretical density is 6.68 g/cm3.



No. 19
AlCrSi2 | meta-GGA SCAN | PBEsol geometry

POSCAR file:
```
AlCrSi2
1.0
-3.714 3.297 -0.644
-5.103 -2.016 -0.360
-2.353 2.038 4.532
Si Al Cr
4 2 2
direct
0.875 0.477 0.023 Si
0.102 0.023 0.523 Si
0.648 0.977 0.477 Si
0.375 0.523 0.977 Si
0.250 0.500 0.500 Al
0.500 0.000 0.000 Al
0.750 0.500 0.500 Cr
0.000 0.000 0.000 Cr
```

Calculated values
The calculation puts the raw total energy at -44.47 eV/f.u. As for the space-group type: I-42d. Its theoretical density is 3.74 g/cm3.



No. 20
AlCrSi2 | meta-GGA SCAN | PBEsol geometry

POSCAR file:
```
AlCrSi2
1.0
-0.567 2.316 1.212
-1.688 0.622 -1.979
-5.572 -3.308 3.712
Si Cr Al
2 1 1
direct
0.000 0.000 0.975 Si
0.500 0.500 0.242 Si
0.500 0.500 0.761 Cr
0.000 0.000 0.521 Al
```

Calculated values
The calculation puts the raw total energy at -45.51 eV/f.u. As for the space-group type: P4mm. Its theoretical density is 4.20 g/cm3.



DOS at the Fermi energy list, top to bottom, in states/eV per cell: 2.5; 2.7; 3.5; 3.7; 2.5; 6.0; 4.0; 2.3; 2.1; 0.4; 3.8; 4.0; 2.7; 3.3; 2.9; 5.0; 2.1; 5.5; 4.5; 2.2